Computed, not measured: a relaxed Gd2TeI crystal at the PBE-GGA level of DFT.

Structure (POSCAR):
```
Gd2TeI
1.0
4.450 0.000 0.000
-2.225 3.854 0.000
0.000 0.000 21.605
Gd Te I
6 3 3
direct
0.000 0.000 0.241
0.000 0.000 0.759
0.333 0.667 0.426
0.333 0.667 0.908
0.667 0.333 0.092
0.667 0.333 0.574
0.000 0.000 0.500
0.333 0.667 0.167
0.667 0.333 0.833
0.000 0.000 0.000
0.333 0.667 0.667
0.667 0.333 0.333
```

- Energy above the lowest structure with this stoichiometry: 0 meV per atom
- Raw formation energy: -4.1 eV per formula unit
- M_tot: 13.81 μB/f.u.
- Energy: -9.24 eV per atom